Entry 1:
A plane-wave DFT calculation with meta-GGA SCAN was carried out for a crystal of Cr2NiMo relaxed with PBEsol.

Calculated values
- D(E_F): 3.4 states/eV/cell
- ΔE_f: 154 meV per atom
- Size of the total moment: 3.30 μB/f.u.

Lattice parameters (Å, degrees): 4.1063 4.1063 4.1063 60.00 60.00 60.00
Last column: nearest neighbours and their distance in Å.
Fractional positions:
Cr 0.0000 0.0000 0.0000  4 Cr 2.51, 4 Ni 2.51
Cr 0.2500 0.2500 0.2500  4 Cr 2.51, 4 Mo 2.51
Ni 0.7500 0.7500 0.7500  4 Cr 2.51, 4 Mo 2.51
Mo 0.5000 0.5000 0.5000  4 Cr 2.51, 4 Ni 2.51



Entry 2:
A plane-wave DFT calculation with meta-GGA SCAN was carried out for a crystal of Bi2PCl relaxed with PBEsol.

Calculated values
- E_form (uncorrected): 164 meV/atom
- D(E_F): 2.6 states/eV/cell
- Energy relative to the lowest polymorph listed for this composition: 193 meV/atom
- Size of the total moment: 0.00 μB/f.u.

Lattice parameters (Å, degrees): 5.0469 5.0469 5.0469 60.00 60.00 60.00
Last column: nearest neighbours and their distance in Å.
Fractional positions:
Bi 0.2500 0.2500 0.2500  4 Cl 3.09, 4 P 3.09
Bi 0.7500 0.7500 0.7500  4 Cl 3.09, 4 P 3.09
P 0.0000 0.0000 0.0000  8 Bi 3.09
Cl 0.5000 0.5000 0.5000  8 Bi 3.09